Entry 1:
The following is a PBE calculation of La4Ge3 after structural relaxation, from Alexandria via LeMat-Bulk.

Cell: 9.3792 9.3792 9.3792 Å, 90.00 90.00 90.00°
Closest atoms and distances in Å follow each position.
Space group I-43d (No. 220)
Inequivalent atoms, fractional coordinates:
1 La 0.0667 0.4333 0.5667  6 Ge 3.08-3.42
2 Ge 0.0000 0.2500 0.8750  8 La 3.08-3.42

Entry 2:
The following is a PBE calculation of LaGe5 after structural relaxation, from Alexandria via LeMat-Bulk.

Computed properties:
The value obtained for the energy above the most stable polymorph in this dataset is 0.000 eV/atom.

Cell: 4.0621 6.3472 9.9782 Å, 90.00 90.00 90.00°
Closest atoms and distances in Å follow each position.
Space group Immm (No. 71)
Inequivalent atoms, fractional coordinates:
1 La 0.0000 0.0000 0.0000  14 Ge 3.17-3.52
2 Ge 0.0000 0.2015 0.3291  3 Ge 2.56-2.64
3 Ge 0.0000 0.5000 0.0000  8 Ge 2.94, 2 La 3.17

Entry 3:
The following is a PBE calculation of LaGe after structural relaxation, from Alexandria via LeMat-Bulk.

Cell: 5.3933 5.3933 5.9813 Å, 90.00 90.00 120.00°
Closest atoms and distances in Å follow each position.
Space group P6_3/mmc (No. 194)
Inequivalent atoms, fractional coordinates:
1 La 0.3333 0.6667 0.2500  5 Ge 2.99-3.11
2 Ge 0.3333 0.6667 0.7500  5 La 2.99-3.11

no.,E_form (eV per atom)
1,-0.835
2,-0.300
3,-0.291